(1)
Tl5Hg2Br12 | GGA-PBE | optimized geometry

volume	35.6	Å³ per atom

Cell: 8.524 9.634 9.711 Å, 106.95 90.00 116.26°
Fractional coordinates of all 19 atoms:
Br 0.104 0.747 0.422
Br 0.507 0.014 0.217
Br 0.910 0.326 0.077
Br 0.896 0.253 0.578
Br 0.493 0.986 0.783
Br 0.090 0.674 0.923
Br 0.357 0.253 0.578
Br 0.985 0.970 0.780
Br 0.015 0.030 0.220
Br 0.584 0.674 0.923
Br 0.643 0.747 0.422
Br 0.416 0.326 0.077
Tl 0.322 0.645 0.173
Tl 0.293 0.585 0.635
Tl 0.707 0.415 0.365
Tl 0.000 0.000 0.500
Tl 0.678 0.355 0.827
Hg 0.258 0.000 0.000
Hg 0.742 0.000 0.000

(2)
Tl5Hg2Br12 | GGA-PBE | optimized geometry

volume	38.3	Å³ per atom

Cell: 10.795 8.740 9.838 Å, 121.43 87.41 110.98°
Fractional coordinates of all 19 atoms:
Br 0.561 0.382 0.269
Br 0.193 0.040 0.435
Br 0.807 0.960 0.565
Br 0.161 0.549 0.396
Br 0.498 0.870 0.221
Br 0.502 0.130 0.779
Br 0.230 0.924 0.989
Br 0.863 0.614 0.079
Br 0.439 0.618 0.731
Br 0.770 0.076 0.011
Br 0.137 0.386 0.921
Br 0.839 0.451 0.604
Tl 0.064 0.868 0.685
Tl 0.936 0.132 0.315
Tl 0.466 0.721 0.467
Tl 0.534 0.279 0.533
Tl 0.500 0.000 0.000
Hg 0.158 0.707 0.179
Hg 0.842 0.293 0.821

Which one is most stable, and which one is least stable? (2) is the most stable of them, while (1) is the least stable.

(1)
TlHgBr | GGA-PBE | optimized geometry

volume	37.7	Å³ per atom

Cell: 4.711 4.711 10.180 Å, 90.00 90.00 90.00°
Fractional coordinates of all 6 atoms:
Tl 0.494 0.006 0.660
Tl 0.994 0.506 0.340
Hg 0.502 0.998 0.989
Hg 0.002 0.498 0.011
Br 0.494 0.006 0.336
Br 0.994 0.506 0.664

(2)
TlHgBr | GGA-PBE | optimized geometry

volume	38.7	Å³ per atom

Cell: 4.808 4.808 5.802 Å, 90.00 90.00 120.00°
Fractional coordinates of all 3 atoms:
Tl 0.333 0.667 0.693
Hg 0.667 0.333 0.347
Br 0.000 0.000 0.960

Which one is most stable, and which one is least stable? (1) is the most stable of them, while (2) is the least stable.